This record from the Alexandria database describes an optimized crystal structure of Si7Tc4. The functional is GGA-PBEsol.

Cell and atoms, written as CIF:
```
data_Si7Tc4
_space_group_name_H-M_alt 'P -4 c 2'
_space_group_IT_number 116
_space_group_name_Hall 'P -4 -2c'
_cell_length_a 5.7158
_cell_length_b 5.7158
_cell_length_c 18.0217
_cell_angle_alpha 90.00
_cell_angle_beta 90.00
_cell_angle_gamma 90.00
loop_
_atom_site_label
_atom_site_type_symbol
_atom_site_fract_x
_atom_site_fract_y
_atom_site_fract_z
Si1 Si 0.1505 0.2726 0.4602
Si2 Si 0.1601 0.1601 0.7500
Si3 Si 0.1720 0.3462 0.1835
Si4 Si 0.3074 0.3493 0.8853
Tc1 Tc 0.0000 0.0000 0.1303
Tc2 Tc 0.0000 0.5000 0.0649
Tc3 Tc 0.0000 0.5000 0.3076
Tc4 Tc 0.5000 0.5000 0.0000
Tc5 Tc 0.5000 0.5000 0.2500
```

Results
Spin magnetization in μB per formula unit: 0.00
Density in g cm⁻³: 6.6
Raw formation energy in meV per atom: -652

=====

This record from the Alexandria database describes an optimized crystal structure of Si5Tc. The functional is GGA-PBEsol.

Cell and atoms, written as CIF:
```
data_Si5Tc
_space_group_name_H-M_alt 'C m m m'
_space_group_IT_number 65
_space_group_name_Hall '-C 2 2'
_cell_length_a 4.3035
_cell_length_b 11.3294
_cell_length_c 3.3195
_cell_angle_alpha 90.00
_cell_angle_beta 90.00
_cell_angle_gamma 90.00
loop_
_atom_site_label
_atom_site_type_symbol
_atom_site_fract_x
_atom_site_fract_y
_atom_site_fract_z
Si1 Si 0.0000 0.0000 0.0000
Si2 Si 0.0000 0.1488 0.5000
Si3 Si 0.0000 0.3180 0.0000
Tc1 Tc 0.0000 0.5000 0.5000
```

Results
Spin magnetization in μB per formula unit: 0.00
Density in g cm⁻³: 4.9
DOS at the Fermi energy in states/eV per atom: 0.3475
Raw formation energy in meV per atom: 125

=====

This record from the Alexandria database describes an optimized crystal structure of SiTcTe2. The functional is GGA-PBEsol.

Cell and atoms, written as CIF:
```
data_SiTcTe2
_space_group_name_H-M_alt 'P m m m'
_space_group_IT_number 47
_space_group_name_Hall '-P 2 2'
_cell_length_a 3.4413
_cell_length_b 4.3718
_cell_length_c 5.2349
_cell_angle_alpha 90.00
_cell_angle_beta 90.00
_cell_angle_gamma 90.00
loop_
_atom_site_label
_atom_site_type_symbol
_atom_site_fract_x
_atom_site_fract_y
_atom_site_fract_z
Si1 Si 0.0000 0.0000 0.0000
Tc1 Tc 0.5000 0.0000 0.5000
Te1 Te 0.0000 0.5000 0.5000
Te2 Te 0.5000 0.5000 0.0000
```

Results
Spin magnetization in μB per formula unit: 0.00
Density in g cm⁻³: 8.0
DOS at the Fermi energy in states/eV per atom: 0.9705
Raw formation energy in meV per atom: 762

=====

This record from the Alexandria database describes an optimized crystal structure of SiTcTe2. The functional is GGA-PBEsol.

Cell and atoms, written as CIF:
```
data_SiTcTe2
_space_group_name_H-M_alt 'A m m 2'
_space_group_IT_number 38
_space_group_name_Hall 'A 2 -2'
_cell_length_a 4.4437
_cell_length_b 5.1570
_cell_length_c 7.3098
_cell_angle_alpha 90.00
_cell_angle_beta 90.00
_cell_angle_gamma 90.00
loop_
_atom_site_label
_atom_site_type_symbol
_atom_site_fract_x
_atom_site_fract_y
_atom_site_fract_z
Si1 Si 0.0000 0.0000 0.0000
Tc1 Tc 0.5000 0.0000 0.8587
Te1 Te 0.0000 0.0000 0.6321
Te2 Te 0.5000 0.0000 0.2446
```

Results
Spin magnetization in μB per formula unit: 0.00
Density in g cm⁻³: 7.6
DOS at the Fermi energy in states/eV per atom: 0.9263
Raw formation energy in meV per atom: 126